This record from the Alexandria database describes a relaxed LaPm2Sm2Tm crystal. The functional is PBE.

```
data_LaPm2Sm2Tm
_cell_length_a 7.0859
_cell_length_b 5.7406
_cell_length_c 9.9595
_cell_angle_alpha 90.00
_cell_angle_beta 90.00
_cell_angle_gamma 90.00
_space_group_name_H-M_alt 'P m m a'
_space_group_IT_number 51
loop_
_space_group_symop_operation_xyz
'x,y,z'
'-x,-y,-z'
'-x+1/2,-y,z'
'x+1/2,y,-z'
'x+1/2,-y,-z'
'-x+1/2,y,z'
'-x,y,-z'
'x,-y,z'
loop_
_atom_site_label
_atom_site_type_symbol
_atom_site_fract_x
_atom_site_fract_y
_atom_site_fract_z
La1 La 0.2500 0.0000 0.1530
Pm1 Pm 0.2500 0.0000 0.8247
Pm2 Pm 0.2500 0.5000 0.3406
Sm1 Sm 0.0000 0.0000 0.5000
Sm2 Sm 0.2500 0.5000 0.6784
Tm1 Tm 0.0000 0.5000 0.0000
```

Its total energy is -55.94 eV per cell. As for the formation energy: 61 meV/atom. The value obtained for the total moment is 0.00 μB per formula unit.